Version 1
! GGA-PBE Sc2NbRu3, relaxed; values from VASP
! Space group ... Cmmm
&SYSTEM
  ibrav = 0, nat = 6, ntyp = 3
/
ATOMIC_SPECIES
Ru 101.07 Ru.upf
Nb 92.91 Nb.upf
Sc 44.96 Sc.upf
ATOMIC_POSITIONS crystal
Ru 0.500 0.159 0.319
Ru 0.500 0.841 0.681
Ru 0.500 0.500 0.000
Nb 0.000 0.000 0.000
Sc 0.000 0.668 0.336
Sc 0.000 0.332 0.664
CELL_PARAMETERS angstrom
-0.116 -0.856 3.072
-3.959 -2.110 -0.738
5.297 -4.658 -1.097

=====

Version 2
! GGA-PBE Sc2NbRu3, relaxed; values from VASP
! Space group ... P4/mmm
&SYSTEM
  ibrav = 0, nat = 6, ntyp = 3
/
ATOMIC_SPECIES
Ru 101.07 Ru.upf
Nb 92.91 Nb.upf
Sc 44.96 Sc.upf
ATOMIC_POSITIONS crystal
Ru 0.000 0.000 0.000
Ru 0.000 0.000 0.342
Ru 0.000 0.000 0.658
Nb 0.500 0.500 0.500
Sc 0.500 0.500 0.162
Sc 0.500 0.500 0.838
CELL_PARAMETERS angstrom
3.196 0.000 0.000
0.000 3.196 0.000
0.000 0.000 9.638

=====

Which of them is least stable? Easy: version 2.